(1)
Entry from the Alexandria database: crystalline RbIrO2F at its relaxed geometry (PBE-GGA).

It has space group P4/mmm (No. 123), with a = 3.747 Å, b = 3.747 Å, c = 6.698 Å, α = 90.00°, β = 90.00° and γ = 90.00°. The asymmetric unit holds Rb at (0.000, 0.000, 0.000), Ir at (0.500, 0.500, 0.500), O at (0.000, 0.500, 0.500) and F at (0.500, 0.500, 0.000).

Its crystal system is tetragonal. The value obtained for the uncorrected formation energy is -1264 meV per atom. The value obtained for the magnetic moment is 0.415 μB/f.u.

---

(2)
Entry from the Alexandria database: crystalline Rb2IrOF6 at its relaxed geometry (PBE-GGA).

It has space group I4/mmm (No. 139), with a = 6.398 Å, b = 6.398 Å, c = 9.077 Å, α = 90.00°, β = 90.00° and γ = 90.00°. The asymmetric unit holds Rb at (0.000, 0.500, 0.250), Ir at (0.000, 0.000, 0.000), O at (0.000, 0.000, 0.500), F at (0.000, 0.000, 0.215) and F at (0.216, 0.216, 0.000).

Its crystal system is tetragonal. The value obtained for the uncorrected formation energy is -1524 meV per atom. The value obtained for the magnetic moment is 0.000 μB/f.u.

---

(3)
Entry from the Alexandria database: crystalline Rb5IrO4F2 at its relaxed geometry (PBE-GGA).

It has space group Amm2 (No. 38), with a = 7.793 Å, b = 10.700 Å, c = 6.806 Å, α = 90.00°, β = 90.00° and γ = 90.00°. The asymmetric unit holds Rb at (0.000, 0.000, 0.000), Rb at (0.262, 0.184, 0.482), Ir at (0.500, 0.000, 0.987), O at (0.330, 0.000, 0.192), O at (0.500, 0.139, 0.825) and F at (0.000, 0.207, 0.754).

Its crystal system is orthorhombic. The value obtained for the uncorrected formation energy is -1578 meV per atom. The value obtained for the magnetic moment is 0.000 μB/f.u.

---

(4)
Entry from the Alexandria database: crystalline ReIrO2F at its relaxed geometry (PBE-GGA).

It has space group P4/mmm (No. 123), with a = 3.718 Å, b = 3.718 Å, c = 5.602 Å, α = 90.00°, β = 90.00° and γ = 90.00°. The asymmetric unit holds Re at (0.000, 0.000, 0.000), Ir at (0.500, 0.500, 0.500), O at (0.000, 0.500, 0.500) and F at (0.500, 0.500, 0.000).

Its crystal system is tetragonal. The value obtained for the uncorrected formation energy is 523 meV per atom. The value obtained for the magnetic moment is 4.589 μB/f.u.

---

(5)
Entry from the Alexandria database: crystalline ReIrO2F at its relaxed geometry (PBE-GGA).

It has space group P4/mmm (No. 123), with a = 3.785 Å, b = 3.785 Å, c = 4.699 Å, α = 90.00°, β = 90.00° and γ = 90.00°. The asymmetric unit holds Re at (0.000, 0.000, 0.000), Ir at (0.500, 0.500, 0.500), O at (0.000, 0.500, 0.000) and F at (0.000, 0.000, 0.500).

Its crystal system is tetragonal. The value obtained for the uncorrected formation energy is 39 meV per atom. The value obtained for the magnetic moment is 2.075 μB/f.u.

---

(6)
Entry from the Alexandria database: crystalline IrSOF2 at its relaxed geometry (PBE-GGA).

It has space group P4/mmm (No. 123), with a = 4.651 Å, b = 4.651 Å, c = 3.307 Å, α = 90.00°, β = 90.00° and γ = 90.00°. The asymmetric unit holds Ir at (0.000, 0.000, 0.000), S at (0.500, 0.500, 0.500), O at (0.500, 0.500, 0.000) and F at (0.000, 0.500, 0.500).

Its crystal system is tetragonal. As for the energy above the most stable polymorph in this dataset: 0.6476 eV/atom. The value obtained for the uncorrected formation energy is 525 meV per atom. The value obtained for the magnetic moment is 2.441 μB/f.u.

---

(7)
Entry from the Alexandria database: crystalline Ir2SOF at its relaxed geometry (PBE-GGA).

It has space group P4/mmm (No. 123), with a = 4.446 Å, b = 4.446 Å, c = 3.691 Å, α = 90.00°, β = 90.00° and γ = 90.00°. The asymmetric unit holds Ir at (0.000, 0.500, 0.000), S at (0.000, 0.000, 0.000), O at (0.000, 0.000, 0.500) and F at (0.500, 0.500, 0.500).

Its crystal system is tetragonal. The value obtained for the uncorrected formation energy is 807 meV per atom. The value obtained for the magnetic moment is 1.638 μB/f.u.

---

(8)
Entry from the Alexandria database: crystalline IrS2O8F at its relaxed geometry (PBE-GGA).

It has space group C2/m (No. 12), with a = 8.184 Å, b = 5.182 Å, c = 7.545 Å, α = 90.00°, β = 99.20° and γ = 90.00°. The asymmetric unit holds Ir at (0.000, 0.000, 0.000), S at (0.119, 0.500, 0.792), O at (0.004, 0.269, 0.811), O at (0.175, 0.500, 0.624), O at (0.249, 0.500, 0.960) and F at (0.000, 0.000, 0.500).

Its crystal system is monoclinic. The value obtained for the uncorrected formation energy is -822 meV per atom. The value obtained for the magnetic moment is 0.684 μB/f.u.

---

(9)
Entry from the Alexandria database: crystalline IrSOF2 at its relaxed geometry (PBE-GGA).

It has space group P4/mmm (No. 123), with a = 4.389 Å, b = 4.389 Å, c = 3.585 Å, α = 90.00°, β = 90.00° and γ = 90.00°. The asymmetric unit holds Ir at (0.000, 0.000, 0.000), S at (0.500, 0.500, 0.000), O at (0.000, 0.000, 0.500) and F at (0.000, 0.500, 0.500).

Its crystal system is tetragonal. As for the energy above the most stable polymorph in this dataset: 0.5539 eV/atom. The value obtained for the uncorrected formation energy is 431 meV per atom. The value obtained for the magnetic moment is 0.000 μB/f.u.

---

(10)
Entry from the Alexandria database: crystalline IrSOF2 at its relaxed geometry (PBE-GGA).

It has space group P4/mmm (No. 123), with a = 4.374 Å, b = 4.374 Å, c = 3.727 Å, α = 90.00°, β = 90.00° and γ = 90.00°. The asymmetric unit holds Ir at (0.000, 0.000, 0.000), S at (0.500, 0.500, 0.500), O at (0.000, 0.000, 0.500) and F at (0.000, 0.500, 0.000).

Its crystal system is tetragonal. As for the energy above the most stable polymorph in this dataset: 0.0000 eV/atom. The value obtained for the uncorrected formation energy is -123 meV per atom. The value obtained for the magnetic moment is 2.267 μB/f.u.

---

(11)
Entry from the Alexandria database: crystalline SbIrO2F at its relaxed geometry (PBE-GGA).

It has space group P4/mmm (No. 123), with a = 4.177 Å, b = 4.177 Å, c = 4.220 Å, α = 90.00°, β = 90.00° and γ = 90.00°. The asymmetric unit holds Sb at (0.000, 0.000, 0.000), Ir at (0.500, 0.500, 0.500), O at (0.000, 0.500, 0.000) and F at (0.000, 0.000, 0.500).

Its crystal system is tetragonal. The value obtained for the uncorrected formation energy is 74 meV per atom. The value obtained for the magnetic moment is 2.204 μB/f.u.

---

(12)
Entry from the Alexandria database: crystalline SbIrOF2 at its relaxed geometry (PBE-GGA).

It has space group P4/mmm (No. 123), with a = 4.638 Å, b = 4.638 Å, c = 3.686 Å, α = 90.00°, β = 90.00° and γ = 90.00°. The asymmetric unit holds Sb at (0.000, 0.000, 0.000), Ir at (0.500, 0.500, 0.500), O at (0.500, 0.500, 0.000) and F at (0.000, 0.500, 0.500).

Its crystal system is tetragonal. As for the energy above the most stable polymorph in this dataset: 0.0000 eV/atom. The value obtained for the uncorrected formation energy is -399 meV per atom. The value obtained for the magnetic moment is 0.000 μB/f.u.

---

(13)
Entry from the Alexandria database: crystalline SbIrOF2 at its relaxed geometry (PBE-GGA).

It has space group P4/mmm (No. 123), with a = 4.385 Å, b = 4.385 Å, c = 4.345 Å, α = 90.00°, β = 90.00° and γ = 90.00°. The asymmetric unit holds Sb at (0.000, 0.000, 0.000), Ir at (0.500, 0.500, 0.500), O at (0.000, 0.000, 0.500) and F at (0.000, 0.500, 0.000).

Its crystal system is tetragonal. As for the energy above the most stable polymorph in this dataset: 0.2597 eV/atom. The value obtained for the uncorrected formation energy is -139 meV per atom. The value obtained for the magnetic moment is 2.175 μB/f.u.

---

(14)
Entry from the Alexandria database: crystalline SbIrO2F at its relaxed geometry (PBE-GGA).

It has space group P4/mmm (No. 123), with a = 4.018 Å, b = 4.018 Å, c = 4.275 Å, α = 90.00°, β = 90.00° and γ = 90.00°. The asymmetric unit holds Sb at (0.000, 0.000, 0.000), Ir at (0.500, 0.500, 0.500), O at (0.000, 0.500, 0.500) and F at (0.500, 0.500, 0.000).

Its crystal system is tetragonal. The value obtained for the uncorrected formation energy is -265 meV per atom. The value obtained for the magnetic moment is 0.000 μB/f.u.